The following is a PBE calculation of crystalline ErTm2Ga at its relaxed geometry, from the Alexandria database.

abc: 5.254 5.254 5.254
angles: 60.00 60.00 60.00
Fractional positions:
Er 0.000 0.000 0.000
Tm 0.250 0.250 0.250
Tm 0.750 0.750 0.750
Ga 0.500 0.500 0.500

ΔE to the lowest computed polymorph   223 meV/atom
Space group   Fm-3m, No. 225
N(E_F)   6.24 states/eV per cell